Compound: BaPPb
Source: Alexandria via LeMat-Bulk
Functional: GGA-PBE
Structure: optimized geometry

Cell: 4.676 4.676 9.422 Å, 90.00 90.00 90.00°
Positions (direct):
Ba: 0.000 0.500 0.670
Ba: 0.500 0.000 0.330
P: 0.000 0.500 0.329
P: 0.500 0.000 0.671
Pb: 0.500 0.000 0.942
Pb: 0.000 0.500 0.058

## Properties
The calculation puts the relative energy among the computed polymorphs at 0 meV per atom. The space-group type is P4/nmm (129).

=====

Compound: Ce5Ir2Ru2
Source: Alexandria via LeMat-Bulk
Functional: GGA-PBE
Structure: optimized geometry

Cell: 6.826 7.202 9.873 Å, 111.39 110.22 90.00°
Positions (direct):
Ce: 0.893 0.303 0.145
Ce: 0.248 0.658 0.855
Ce: 0.872 0.252 0.500
Ce: 0.128 0.752 0.500
Ce: 0.462 0.500 0.298
Ce: 0.107 0.158 0.855
Ce: 0.538 0.201 0.702
Ce: 0.336 0.000 0.298
Ce: 0.752 0.803 0.145
Ce: 0.664 0.701 0.702
Ru: 0.528 0.128 0.158
Ru: 0.472 0.971 0.842
Ru: 0.871 0.471 0.842
Ru: 0.129 0.628 0.158
Ir: 0.739 0.895 0.500
Ir: 0.261 0.395 0.500
Ir: 0.000 0.927 0.000
Ir: 0.500 0.427 0.000

## Properties
The uncorrected energy is -7.8021 eV/atom. The space-group type is Ima2 (46).